! MnSOF2 (PBE with a Hubbard U, relaxed); values from VASP
&SYSTEM
  ibrav = 0, nat = 5, ntyp = 4
/
ATOMIC_SPECIES
S 32.06 S.upf
F 19.00 F.upf
O 16.00 O.upf
Mn 54.94 Mn.upf
CELL_PARAMETERS angstrom
-3.471 -2.877 1.274
1.863 -0.350 4.284
-1.852 2.689 1.025
ATOMIC_POSITIONS crystal
S 0.000 0.000 0.000
F 0.500 0.000 0.000
F 0.000 0.500 0.000
O 0.000 0.000 0.500
Mn 0.500 0.500 0.500
! Calculated volume (Å³ per cell): 75
! Raw total energy (eV for the cell shown): -23.2
! Energy above the lowest structure with this stoichiometry (meV per atom): 0
! Space-group type: P4/mmm